Entry from the Alexandria database: crystalline Co2Ni2Rh3 at its relaxed geometry (PBE).

E = -6.73 eV per atom
DOS at the Fermi energy = 10.3 states/eV/f.u.
DFT formation energy = 71.7 kJ/mol of formula units
ρ = 10.07 g cm⁻³

```
data_Co2Ni2Rh3
_cell_length_a 8.477
_cell_length_b 2.630
_cell_length_c 8.639
_cell_angle_alpha 90.00
_cell_angle_beta 111.39
_cell_angle_gamma 90.00
_space_group_name_H-M_alt 'C 1 2/m 1'
_space_group_IT_number 12
loop_
_space_group_symop_operation_xyz
'x,y,z'
'-x,-y,-z'
'-x,y,-z'
'x,-y,z'
'x+1/2,y+1/2,z'
'-x+1/2,-y+1/2,-z'
'-x+1/2,y+1/2,-z'
'x+1/2,-y+1/2,z'
loop_
_atom_site_label
_atom_site_type_symbol
_atom_site_fract_x
_atom_site_fract_y
_atom_site_fract_z
Co1 Co 0.220 0.000 0.360
Ni1 Ni 0.050 0.500 0.768
Rh1 Rh 0.000 0.000 0.500
Rh2 Rh 0.167 0.500 0.087
```